{
  "formula": "CaCrTc2",
  "functional": "PBE",
  "state": "relaxed",
  "spacegroup": "R-3m, No. 166",
  "ef_ev_per_fu": 2.3,
  "magmom_total_mub_per_atom": 0.00,
  "final_energy_ev_per_atom": -7.526,
  "lattice_angstrom": [[2.958, 0.000, 0.000], [-1.479, 2.561, 0.000], [0.000, 0.000, 26.350]],
  "species": ["Ca", "Ca", "Ca", "Cr", "Cr", "Cr", "Tc", "Tc", "Tc", "Tc", "Tc", "Tc"],
  "fractional_positions": [[0.000, 0.000, 0.000], [0.333, 0.667, 0.667], [0.667, 0.333, 0.333], [0.000, 0.000, 0.500], [0.333, 0.667, 0.167], [0.667, 0.333, 0.833], [0.000, 0.000, 0.235], [0.000, 0.000, 0.765], [0.333, 0.667, 0.432], [0.333, 0.667, 0.901], [0.667, 0.333, 0.099], [0.667, 0.333, 0.568]]
}

{
  "formula": "CeTh4Sb2",
  "functional": "PBE",
  "state": "relaxed",
  "spacegroup": "I4/mmm, No. 139",
  "magmom_total_mub_per_atom": 0.00,
  "raw_formation_energy_mev_per_atom": 232,
  "final_energy_ev_per_atom": -6.034,
  "lattice_angstrom": [[5.483, 0.000, 0.000], [0.000, 5.483, 0.000], [0.000, 0.000, 15.958]],
  "species": ["Ce", "Ce", "Th", "Th", "Th", "Th", "Th", "Th", "Th", "Th", "Sb", "Sb", "Sb", "Sb"],
  "fractional_positions": [[0.000, 0.000, 0.000], [0.500, 0.500, 0.500], [0.000, 0.000, 0.172], [0.000, 0.000, 0.828], [0.000, 0.500, 0.000], [0.000, 0.500, 0.500], [0.500, 0.000, 0.000], [0.500, 0.000, 0.500], [0.500, 0.500, 0.328], [0.500, 0.500, 0.672], [0.000, 0.000, 0.367], [0.000, 0.000, 0.633], [0.500, 0.500, 0.133], [0.500, 0.500, 0.867]]
}

{
  "formula": "Nd2CoI",
  "functional": "PBE",
  "state": "relaxed",
  "spacegroup": "R3m, No. 160",
  "magmom_total_mub_per_atom": 0.00,
  "raw_formation_energy_mev_per_atom": -563,
  "final_energy_ev_per_atom": -5.111,
  "lattice_angstrom": [[4.060, 0.000, 0.000], [-2.030, 3.516, 0.000], [0.000, 0.000, 24.438]],
  "species": ["Nd", "Nd", "Nd", "Nd", "Nd", "Nd", "Co", "Co", "Co", "I", "I", "I"],
  "fractional_positions": [[0.000, 0.000, 0.000], [0.000, 0.000, 0.212], [0.333, 0.667, 0.667], [0.333, 0.667, 0.879], [0.667, 0.333, 0.333], [0.667, 0.333, 0.545], [0.000, 0.000, 0.606], [0.333, 0.667, 0.273], [0.667, 0.333, 0.939], [0.000, 0.000, 0.438], [0.333, 0.667, 0.105], [0.667, 0.333, 0.772]]
}

{
  "formula": "Tb3Ni8Hg",
  "functional": "PBE",
  "state": "relaxed",
  "spacegroup": "R3m, No. 160",
  "ef_ev_per_fu": -4.7,
  "magmom_total_mub_per_atom": 0.00,
  "final_energy_ev_per_atom": -5.428,
  "lattice_angstrom": [[2.516, 1.452, 8.266], [-2.516, 1.452, 8.266], [0.000, -2.905, 8.266]],
  "species": ["Tb", "Tb", "Tb", "Ni", "Ni", "Ni", "Ni", "Ni", "Ni", "Ni", "Ni", "Hg"],
  "fractional_positions": [[0.000, 0.000, 0.000], [0.129, 0.129, 0.129], [0.512, 0.512, 0.512], [0.068, 0.568, 0.568], [0.069, 0.069, 0.563], [0.069, 0.563, 0.069], [0.318, 0.318, 0.318], [0.563, 0.069, 0.069], [0.568, 0.068, 0.568], [0.568, 0.568, 0.068], [0.818, 0.818, 0.818], [0.633, 0.633, 0.633]]
}

{
  "formula": "InGa3Te",
  "functional": "PBE",
  "state": "relaxed",
  "spacegroup": "Pm-3m, No. 221",
  "magmom_total_mub_per_atom": 0.00,
  "raw_formation_energy_mev_per_atom": 279,
  "final_energy_ev_per_atom": -2.714,
  "lattice_angstrom": [[5.287, 0.000, 0.000], [0.000, 5.287, 0.000], [0.000, 0.000, 5.287]],
  "species": ["In", "Ga", "Ga", "Ga", "Te"],
  "fractional_positions": [[0.000, 0.000, 0.000], [0.000, 0.000, 0.500], [0.000, 0.500, 0.000], [0.500, 0.000, 0.000], [0.500, 0.500, 0.500]]
}

{
  "formula": "Ba2Al7Hg",
  "functional": "PBE",
  "state": "relaxed",
  "spacegroup": "P-4m2, No. 115",
  "ef_ev_per_fu": -2.5,
  "magmom_total_mub_per_atom": 0.00,
  "final_energy_ev_per_atom": -3.283,
  "lattice_angstrom": [[4.641, 0.000, 0.000], [0.000, 4.641, 0.000], [0.000, 0.000, 11.278]],
  "species": ["Ba", "Ba", "Al", "Al", "Al", "Al", "Al", "Al", "Al", "Hg"],
  "fractional_positions": [[0.000, 0.500, 0.247], [0.500, 0.000, 0.753], [0.000, 0.000, 0.000], [0.000, 0.500, 0.632], [0.000, 0.500, 0.870], [0.500, 0.000, 0.130], [0.500, 0.000, 0.368], [0.500, 0.500, 0.000], [0.500, 0.500, 0.500], [0.000, 0.000, 0.500]]
}

{
  "formula": "Tb2ReC",
  "functional": "PBE",
  "state": "relaxed",
  "spacegroup": "R-3m, No. 166",
  "ef_ev_per_fu": 2.9,
  "magmom_total_mub_per_atom": 0.00,
  "final_energy_ev_per_atom": -7.004,
  "lattice_angstrom": [[3.314, 0.000, 0.000], [-1.657, 2.870, 0.000], [0.000, 0.000, 25.583]],
  "species": ["Tb", "Tb", "Tb", "Tb", "Tb", "Tb", "Re", "Re", "Re", "C", "C", "C"],
  "fractional_positions": [[0.000, 0.000, 0.111], [0.000, 0.000, 0.889], [0.333, 0.667, 0.556], [0.333, 0.667, 0.778], [0.667, 0.333, 0.222], [0.667, 0.333, 0.444], [0.000, 0.000, 0.000], [0.333, 0.667, 0.667], [0.667, 0.333, 0.333], [0.000, 0.000, 0.500], [0.333, 0.667, 0.167], [0.667, 0.333, 0.833]]
}

{
  "formula": "KZr4Br",
  "functional": "PBE",
  "state": "relaxed",
  "spacegroup": "F-43m, No. 216",
  "magmom_total_mub_per_atom": 0.00,
  "raw_formation_energy_mev_per_atom": 795,
  "final_energy_ev_per_atom": -5.365,
  "lattice_angstrom": [[0.000, 4.377, 4.377], [4.377, 0.000, 4.377], [4.377, 4.377, 0.000]],
  "species": ["K", "Zr", "Zr", "Zr", "Zr", "Br"],
  "fractional_positions": [[0.000, 0.000, 0.000], [0.111, 0.630, 0.630], [0.630, 0.111, 0.630], [0.630, 0.630, 0.111], [0.630, 0.630, 0.630], [0.250, 0.250, 0.250]]
}

{
  "formula": "Y2Mn",
  "functional": "PBE",
  "state": "relaxed",
  "spacegroup": "Fd-3m, No. 227",
  "ef_ev_per_fu": 2.5,
  "magmom_total_mub_per_atom": 1.40,
  "final_energy_ev_per_atom": -6.545,
  "lattice_angstrom": [[0.000, 4.422, 4.422], [4.422, 0.000, 4.422], [4.422, 4.422, 0.000]],
  "species": ["Y", "Y", "Y", "Y", "Mn", "Mn"],
  "fractional_positions": [[0.000, 0.000, 0.000], [0.000, 0.000, 0.500], [0.000, 0.500, 0.000], [0.500, 0.000, 0.000], [0.375, 0.375, 0.375], [0.625, 0.625, 0.625]]
}

{
  "formula": "Ca2Pr2Er",
  "functional": "PBE",
  "state": "relaxed",
  "spacegroup": "P-3m1, No. 164",
  "ef_ev_per_fu": 0.2,
  "magmom_total_mub_per_atom": 0.00,
  "final_energy_ev_per_atom": -3.594,
  "lattice_angstrom": [[3.701, 0.000, 0.000], [-1.850, 3.205, 0.000], [0.000, 0.000, 15.510]],
  "species": ["Ca", "Ca", "Pr", "Pr", "Er"],
  "fractional_positions": [[0.333, 0.667, 0.106], [0.667, 0.333, 0.894], [0.333, 0.667, 0.684], [0.667, 0.333, 0.316], [0.000, 0.000, 0.500]]
}

{
  "formula": "PmPr5Sm2Sc",
  "functional": "PBE",
  "state": "relaxed",
  "spacegroup": "I4/mcm, No. 140",
  "ef_ev_per_fu": 2.6,
  "magmom_total_mub_per_atom": 0.00,
  "final_energy_ev_per_atom": -4.645,
  "lattice_angstrom": [[-4.341, 4.341, 8.309], [4.341, -4.341, 8.309], [4.341, 4.341, -8.309]],
  "species": ["Pm", "Pm", "Pr", "Pr", "Pr", "Pr", "Pr", "Pr", "Pr", "Pr", "Pr", "Pr", "Sm", "Sm", "Sm", "Sm", "Sc", "Sc"],
  "fractional_positions": [[0.250, 0.250, 0.000], [0.750, 0.750, 0.000], [0.000, 0.000, 0.000], [0.067, 0.567, 0.920], [0.147, 0.067, 0.500], [0.353, 0.853, 0.920], [0.433, 0.353, 0.500], [0.500, 0.500, 0.000], [0.567, 0.647, 0.500], [0.647, 0.147, 0.080], [0.853, 0.933, 0.500], [0.933, 0.433, 0.080], [0.122, 0.378, 0.500], [0.378, 0.878, 0.256], [0.622, 0.122, 0.744], [0.878, 0.622, 0.500], [0.250, 0.750, 0.500], [0.750, 0.250, 0.500]]
}

{
  "formula": "TbSc3Zn8",
  "functional": "PBE",
  "state": "relaxed",
  "spacegroup": "R3m, No. 160",
  "ef_ev_per_fu": -3.9,
  "magmom_total_mub_per_atom": 0.00,
  "final_energy_ev_per_atom": -3.147,
  "lattice_angstrom": [[2.657, 1.534, 8.659], [-2.657, 1.534, 8.659], [0.000, -3.068, 8.659]],
  "species": ["Tb", "Sc", "Sc", "Sc", "Zn", "Zn", "Zn", "Zn", "Zn", "Zn", "Zn", "Zn"],
  "fractional_positions": [[0.000, 0.000, 0.000], [0.126, 0.126, 0.126], [0.498, 0.498, 0.498], [0.622, 0.622, 0.622], [0.061, 0.061, 0.558], [0.061, 0.558, 0.061], [0.065, 0.562, 0.562], [0.311, 0.311, 0.311], [0.558, 0.061, 0.061], [0.562, 0.065, 0.562], [0.562, 0.562, 0.065], [0.812, 0.812, 0.812]]
}

{
  "formula": "PuNi2H",
  "functional": "PBE",
  "state": "relaxed",
  "spacegroup": "R-3m, No. 166",
  "magmom_total_mub_per_atom": 1.01,
  "final_energy_ev_per_atom": -7.177,
  "lattice_angstrom": [[2.713, 0.000, 0.000], [-1.356, 2.349, 0.000], [0.000, 0.000, 21.055]],
  "species": ["Pu", "Pu", "Pu", "Ni", "Ni", "Ni", "Ni", "Ni", "Ni", "H", "H", "H"],
  "fractional_positions": [[0.000, 0.000, 0.000], [0.333, 0.667, 0.667], [0.667, 0.333, 0.333], [0.000, 0.000, 0.216], [0.000, 0.000, 0.784], [0.333, 0.667, 0.451], [0.333, 0.667, 0.882], [0.667, 0.333, 0.118], [0.667, 0.333, 0.549], [0.000, 0.000, 0.500], [0.333, 0.667, 0.167], [0.667, 0.333, 0.833]]
}